# 1
## CsHf2W4 (PBE-GGA)

Data for an optimized crystal structure of CsHf2W4.

a = 4.879 Å, b = 4.879 Å, c = 13.811 Å
α = 90.00°, β = 90.00°, γ = 90.00°
Fractional coordinates of all 14 atoms:
Cs 0.000 0.000 0.000
Cs 0.500 0.500 0.500
Hf 0.000 0.000 0.378
Hf 0.000 0.000 0.622
Hf 0.500 0.500 0.122
Hf 0.500 0.500 0.878
W 0.000 0.000 0.187
W 0.000 0.000 0.813
W 0.000 0.500 0.000
W 0.000 0.500 0.500
W 0.500 0.000 0.000
W 0.500 0.000 0.500
W 0.500 0.500 0.313
W 0.500 0.500 0.687

Summary:
DFT formation energy   2.917 eV/atom
Space-group type   I4/mmm (139)

---

# 2
## BaNa2Li (PBE-GGA)

Data for an optimized crystal structure of BaNa2Li.

a = 4.082 Å, b = 4.082 Å, c = 33.834 Å
α = 90.00°, β = 90.00°, γ = 120.00°
Fractional coordinates of all 12 atoms:
Ba 0.000 0.000 0.000
Ba 0.333 0.667 0.667
Ba 0.667 0.333 0.333
Na 0.000 0.000 0.570
Na 0.000 0.000 0.765
Na 0.333 0.667 0.236
Na 0.333 0.667 0.431
Na 0.667 0.333 0.098
Na 0.667 0.333 0.903
Li 0.000 0.000 0.168
Li 0.333 0.667 0.834
Li 0.667 0.333 0.501

Summary:
DFT formation energy   0.126 eV/atom
Space-group type   R3m (160)
Relative energy among the computed polymorphs   0.39 eV/f.u.

---

# 3
## Sr2TlSn2Rh5 (PBE-GGA)

Data for an optimized crystal structure of Sr2TlSn2Rh5.

a = 10.586 Å, b = 10.586 Å, c = 3.676 Å
α = 90.00°, β = 90.00°, γ = 90.00°
Fractional coordinates of all 20 atoms:
Sr 0.172 0.328 0.000
Sr 0.328 0.828 0.000
Sr 0.672 0.172 0.000
Sr 0.828 0.672 0.000
Tl 0.000 0.000 0.000
Tl 0.500 0.500 0.000
Sn 0.127 0.627 0.000
Sn 0.373 0.127 0.000
Sn 0.627 0.873 0.000
Sn 0.873 0.373 0.000
Rh 0.000 0.500 0.500
Rh 0.064 0.797 0.500
Rh 0.203 0.064 0.500
Rh 0.297 0.564 0.500
Rh 0.436 0.297 0.500
Rh 0.500 0.000 0.500
Rh 0.564 0.703 0.500
Rh 0.703 0.436 0.500
Rh 0.797 0.936 0.500
Rh 0.936 0.203 0.500

Summary:
DFT formation energy   -0.316 eV/atom
Space-group type   P4/mbm (127)

---

# 4
## CuPd3Au3 (PBE-GGA)

Data for an optimized crystal structure of CuPd3Au3.

a = 6.080 Å, b = 6.080 Å, c = 6.482 Å
α = 90.02°, β = 90.02°, γ = 86.67°
Fractional coordinates of all 14 atoms:
Cu 0.249 0.249 0.499
Cu 0.751 0.751 0.501
Pd 0.000 0.000 0.277
Pd 0.000 0.000 0.723
Pd 0.001 0.499 0.732
Pd 0.499 0.001 0.732
Pd 0.501 0.999 0.268
Pd 0.999 0.501 0.268
Au 0.257 0.257 0.001
Au 0.267 0.733 0.000
Au 0.317 0.683 0.500
Au 0.683 0.317 0.500
Au 0.733 0.267 0.000
Au 0.743 0.743 0.999

Summary:
DFT formation energy   0.031 eV/atom
Space-group type   C2/m (12)
Relative energy among the computed polymorphs   0.00 eV/f.u.

---

# 5
## ThUGa (PBE-GGA)

Data for an optimized crystal structure of ThUGa.

a = 13.458 Å, b = 3.691 Å, c = 6.139 Å
α = 90.00°, β = 90.00°, γ = 90.00°
Fractional coordinates of all 12 atoms:
Th 0.218 0.250 0.185
Th 0.282 0.750 0.685
Th 0.718 0.250 0.315
Th 0.782 0.750 0.815
U 0.049 0.750 0.916
U 0.451 0.250 0.416
U 0.549 0.750 0.584
U 0.951 0.250 0.084
Ga 0.063 0.750 0.417
Ga 0.437 0.250 0.917
Ga 0.563 0.750 0.083
Ga 0.937 0.250 0.583

Summary:
DFT formation energy   0.025 eV/atom
Space-group type   Pnma (62)

---

# 6
## Ni2AgSn (PBE-GGA)

Data for an optimized crystal structure of Ni2AgSn.

a = 3.205 Å, b = 3.205 Å, c = 5.873 Å
α = 90.00°, β = 90.00°, γ = 90.00°
Fractional coordinates of all 4 atoms:
Ni 0.000 0.000 0.235
Ni 0.000 0.000 0.765
Ag 0.500 0.500 0.500
Sn 0.500 0.500 0.000

Summary:
DFT formation energy   0.027 eV/atom
Space-group type   P4/mmm (123)

---

# 7
## MgTaCu2Pd (PBE-GGA)

Data for an optimized crystal structure of MgTaCu2Pd.

a = 4.307 Å, b = 4.307 Å, c = 5.036 Å
α = 90.00°, β = 90.00°, γ = 90.00°
Fractional coordinates of all 5 atoms:
Mg 0.000 0.000 0.000
Ta 0.000 0.000 0.500
Cu 0.000 0.500 0.000
Cu 0.500 0.000 0.000
Pd 0.500 0.500 0.500

Summary:
DFT formation energy   1.404 eV/atom
Space-group type   P4/mmm (123)

---

# 8
## SrCdF (PBE-GGA)

Data for an optimized crystal structure of SrCdF.

a = 4.107 Å, b = 4.108 Å, c = 8.616 Å
α = 89.89°, β = 89.76°, γ = 89.99°
Fractional coordinates of all 6 atoms:
Sr 0.249 0.249 0.165
Sr 0.751 0.751 0.835
Cd 0.251 0.250 0.572
Cd 0.749 0.750 0.428
F 0.250 0.750 0.000
F 0.750 0.250 0.000

Summary:
Formation energy from raw total energies   -2057 meV/atom
Space-group type   P-1 (2)
Relative energy among the computed polymorphs   0.00 eV/f.u.

---

# 9
## Tb3SbRh (PBE-GGA)

Data for an optimized crystal structure of Tb3SbRh.

a = 7.989 Å, b = 4.303 Å, c = 8.407 Å
α = 90.00°, β = 110.48°, γ = 90.00°
Fractional coordinates of all 10 atoms:
Tb 0.060 0.250 0.252
Tb 0.325 0.250 0.931
Tb 0.327 0.750 0.594
Tb 0.673 0.250 0.406
Tb 0.675 0.750 0.069
Tb 0.940 0.750 0.748
Sb 0.352 0.750 0.219
Sb 0.648 0.250 0.781
Rh 0.082 0.250 0.609
Rh 0.918 0.750 0.391

Summary:
Formation energy from raw total energies   -797 meV/atom
Space-group type   P2_1/m (11)

---

# 10
## Y2AuI2 (PBE-GGA)

Data for an optimized crystal structure of Y2AuI2.

a = 4.885 Å, b = 4.885 Å, c = 14.165 Å
α = 90.00°, β = 90.00°, γ = 90.00°
Fractional coordinates of all 10 atoms:
Y 0.000 0.000 0.112
Y 0.000 0.000 0.888
Y 0.500 0.500 0.388
Y 0.500 0.500 0.612
Au 0.000 0.000 0.500
Au 0.500 0.500 0.000
I 0.000 0.500 0.250
I 0.000 0.500 0.750
I 0.500 0.000 0.250
I 0.500 0.000 0.750

Summary:
Formation energy from raw total energies   -313 meV/atom
Space-group type   I4/mmm (139)
Relative energy among the computed polymorphs   3.90 eV/f.u.

---

# 11
## KAc3Re4N12 (PBE-GGA)

Data for an optimized crystal structure of KAc3Re4N12.

a = 8.015 Å, b = 8.015 Å, c = 8.015 Å
α = 110.63°, β = 110.63°, γ = 110.63°
Fractional coordinates of all 20 atoms:
K 0.000 0.000 0.000
Ac 0.000 0.549 0.451
Ac 0.451 0.000 0.549
Ac 0.549 0.451 0.000
Re 0.068 0.500 0.932
Re 0.500 0.500 0.500
Re 0.500 0.932 0.068
Re 0.932 0.068 0.500
N 0.068 0.932 0.500
N 0.091 0.658 0.814
N 0.186 0.342 0.909
N 0.342 0.909 0.186
N 0.363 0.637 0.500
N 0.500 0.068 0.932
N 0.500 0.363 0.637
N 0.637 0.500 0.363
N 0.658 0.814 0.091
N 0.814 0.091 0.658
N 0.909 0.186 0.342
N 0.932 0.500 0.068

Summary:
Formation energy from raw total energies   -38 meV/atom
Space-group type   R32 (155)

---

# 12
## ScVInCu2 (PBE-GGA)

Data for an optimized crystal structure of ScVInCu2.

a = 4.773 Å, b = 4.773 Å, c = 4.514 Å
α = 90.00°, β = 90.00°, γ = 90.00°
Fractional coordinates of all 5 atoms:
Sc 0.000 0.000 0.000
V 0.000 0.000 0.500
In 0.500 0.500 0.500
Cu 0.000 0.500 0.000
Cu 0.500 0.000 0.000

Summary:
DFT formation energy   1.123 eV/atom
Space-group type   P4/mmm (123)